1.
Entry from the Alexandria database: PrSm4Y7 after structural relaxation (PBE-GGA).

- DFT total energy (eV/atom) = -5.48
- energy above the most stable polymorph in this dataset (kJ/mol of atoms) = 17.8
- space-group type = C2/m (12)
- N(E_F) (states/eV per cell) = 21.45
- formation energy (kJ/mol of formula units) = 307

```
12
Lattice="5.936 0.000 0.000 2.968 11.369 -0.248 2.968 0.233 6.102" Properties=species:S:1:pos:R:3 pbc="T T T"
Y 2.968 0.000 0.000
Y 5.936 5.750 1.295
Y 8.904 10.603 2.810
Y 2.968 0.999 3.044
Y 8.904 3.837 4.852
Y 5.936 5.852 4.558
Y 2.968 7.764 1.001
Sm 8.904 7.845 4.682
Sm 5.936 8.937 2.841
Sm 2.968 3.756 1.171
Sm 5.936 2.664 3.013
Pr 0.000 0.000 0.000
```

***

2.
Entry from the Alexandria database: Pr6Sm2Y after structural relaxation (PBE-GGA).

- DFT total energy (eV/atom) = -4.36
- energy above the most stable polymorph in this dataset (kJ/mol of atoms) = 44.8
- space-group type = P4_2/mnm (136)
- N(E_F) (states/eV per cell) = 30.69
- formation energy (kJ/mol of formula units) = 512

```
18
Lattice="-1.668 -5.036 -6.465 7.933 0.663 -2.564 2.616 -8.451 5.908" Properties=species:S:1:pos:R:3 pbc="T T T"
Pr 6.075 -2.115 -2.508
Pr 1.066 -5.088 -4.543
Pr 1.643 -1.147 -2.368
Pr 1.922 -7.907 -2.584
Pr 2.504 -3.951 -0.390
Pr 4.622 -3.226 -6.661
Pr 3.380 -6.781 1.588
Pr 6.377 -8.873 -2.731
Pr 5.501 -6.043 -4.709
Pr 2.806 -10.709 -0.613
Pr 6.959 -4.917 -0.537
Pr 7.815 -7.736 1.422
Sm 5.308 -9.215 0.399
Sm 1.748 -5.648 3.948
Sm 3.573 -3.609 -3.520
Sm 0.868 -2.803 1.960
Y 4.441 -6.412 -1.560
Y 0.000 0.000 0.000
```